PrP12Ru4 | GGA-PBEsol | optimized geometry

Cell and atoms, written as extended XYZ:
```
17
Lattice="6.9445 0.0000 0.0000 -2.3148 6.5473 0.0000 -2.3148 -3.2737 5.6701" Properties=species:S:1:pos:R:3 pbc="T T T"
P -1.3297 4.4296 2.0270
P -0.9851 0.6966 2.8475
P -2.3047 1.6297 4.4636
P 2.3047 4.6805 0.8205
P -0.0101 3.4965 3.6432
Pr 0.0000 0.0000 0.0000
P 2.3250 -0.2229 2.0270
P 1.3297 0.4594 4.8496
Ru 1.1574 1.6368 2.8351
P 4.6195 1.6440 1.2065
Ru -1.1574 3.2737 0.0000
P 3.2999 2.5771 2.8227
Ru 3.4722 0.0000 0.0000
P 3.6445 -1.1559 3.6432
P 0.0101 -1.4068 4.8496
Ru -1.1574 -1.6368 2.8351
P 0.9851 2.8143 0.8205
```

Summary:
uncorrected energy	-127.71	eV/cell
DOS(E_F)	3.5	states/eV/f.u.
E_form	-0.726	eV per atom
M_tot	0.0	μB/f.u.